1.
! PBE Nd7Ag2Au2, optimized geometry; values from VASP
! - magnetic moment (μB per formula unit) = 0.00
! - formation energy from the elements (eV per atom) = -0.096
&SYSTEM
  ibrav = 0, nat = 11, ntyp = 3
/
ATOMIC_SPECIES
Nd 144.24 Nd.upf
Ag 107.87 Ag.upf
Au 196.97 Au.upf
CELL_PARAMETERS angstrom
3.8552 -5.5319 0.0000
3.8552 5.5319 0.0000
0.0000 0.0000 7.9377
ATOMIC_POSITIONS crystal
Nd 0.0000 0.0000 0.0000
Nd 0.0000 0.5000 0.2909
Nd 0.0000 0.5000 0.7091
Nd 0.5000 0.0000 0.2909
Nd 0.5000 0.0000 0.7091
Nd 0.5000 0.5000 0.2694
Nd 0.5000 0.5000 0.7306
Ag 0.2896 0.7104 0.0000
Ag 0.7104 0.2896 0.0000
Au 0.1813 0.1813 0.5000
Au 0.8187 0.8187 0.5000



2.
! PBE MgBe2HgAs, optimized geometry; values from VASP
! - magnetic moment (μB per formula unit) = 0.00
! - formation energy from the elements (eV per atom) = 1.287
&SYSTEM
  ibrav = 0, nat = 5, ntyp = 4
/
ATOMIC_SPECIES
Mg 24.30 Mg.upf
Be 9.01 Be.upf
Hg 200.59 Hg.upf
As 74.92 As.upf
CELL_PARAMETERS angstrom
4.5834 0.0000 0.0000
0.0000 4.5834 0.0000
0.0000 0.0000 5.2444
ATOMIC_POSITIONS crystal
Mg 0.0000 0.0000 0.0000
Be 0.0000 0.5000 0.0000
Be 0.5000 0.0000 0.0000
Hg 0.0000 0.0000 0.5000
As 0.5000 0.5000 0.5000



3.
! PBE KTlAg2, optimized geometry; values from VASP
! - magnetic moment (μB per formula unit) = 0.00
! - formation energy from the elements (eV per atom) = 0.232
&SYSTEM
  ibrav = 0, nat = 4, ntyp = 3
/
ATOMIC_SPECIES
K 39.10 K.upf
Tl 204.38 Tl.upf
Ag 107.87 Ag.upf
CELL_PARAMETERS angstrom
1.9893 1.1485 8.9433
-1.9893 1.1485 8.9433
0.0000 -2.2970 8.9433
ATOMIC_POSITIONS crystal
K 0.0000 0.0000 0.0000
Tl 0.5000 0.5000 0.5000
Ag 0.2366 0.2366 0.2366
Ag 0.7634 0.7634 0.7634



4.
! PBE TlP2SBr, optimized geometry; values from VASP
! - E_form (uncorrected) (kcal/mol of atoms) = 11.2
! - magnetic moment (μB per formula unit) = 0.00
&SYSTEM
  ibrav = 0, nat = 5, ntyp = 4
/
ATOMIC_SPECIES
Tl 204.38 Tl.upf
P 30.97 P.upf
S 32.06 S.upf
Br 79.90 Br.upf
CELL_PARAMETERS angstrom
4.5599 0.0000 0.0000
0.0000 4.5599 0.0000
0.0000 0.0000 7.0573
ATOMIC_POSITIONS crystal
Tl 0.0000 0.0000 0.0000
P 0.0000 0.5000 0.5000
P 0.5000 0.0000 0.5000
S 0.0000 0.0000 0.5000
Br 0.5000 0.5000 0.0000



5.
! PBE ErSi3Ni9, optimized geometry; values from VASP
! - E_form (uncorrected) (kcal/mol of atoms) = -11.5
! - magnetic moment (μB per formula unit) = 0.00
&SYSTEM
  ibrav = 0, nat = 13, ntyp = 3
/
ATOMIC_SPECIES
Er 167.26 Er.upf
Si 28.09 Si.upf
Ni 58.69 Ni.upf
CELL_PARAMETERS angstrom
2.3890 -5.7734 0.0000
2.3890 5.7734 0.0000
-2.2106 0.0000 5.6824
ATOMIC_POSITIONS crystal
Er 0.0000 0.0000 0.0000
Si 0.0000 0.5000 0.0000
Si 0.5000 0.0000 0.0000
Si 0.5000 0.5000 0.5000
Ni 0.0000 0.0000 0.5000
Ni 0.0186 0.6646 0.6576
Ni 0.2858 0.5115 0.7777
Ni 0.3354 0.9814 0.3424
Ni 0.4885 0.7142 0.2223
Ni 0.5115 0.2858 0.7777
Ni 0.6646 0.0186 0.6576
Ni 0.7142 0.4885 0.2223
Ni 0.9814 0.3354 0.3424



6.
! PBE BeRu2, optimized geometry; values from VASP
! - magnetic moment (μB per formula unit) = 0.00
! - formation energy from the elements (eV per atom) = 0.072
&SYSTEM
  ibrav = 0, nat = 3, ntyp = 2
/
ATOMIC_SPECIES
Be 9.01 Be.upf
Ru 101.07 Ru.upf
CELL_PARAMETERS angstrom
2.6916 0.0000 0.0000
-1.3458 2.3310 0.0000
0.0000 0.0000 5.9689
ATOMIC_POSITIONS crystal
Be 0.0000 0.0000 0.0000
Ru 0.3333 0.6667 0.3198
Ru 0.6667 0.3333 0.6802



no.,final energy (eV per cell)
1,-46.7
2,-7.6
3,-8.2
4,-16.6
5,-79.4
6,-22.1